# LiTbCdAg | the Alexandria database | PBE | relaxed
data_LiTbCdAg
_chemical_formula_sum 'Li4 Tb4 Cd4 Ag4'
_cell_length_a 6.950
_cell_length_b 6.950
_cell_length_c 6.950
_cell_angle_alpha 90.00
_cell_angle_beta 90.00
_cell_angle_gamma 90.00
_space_group_name_H-M_alt 'F -4 3 m'
_space_group_IT_number 216
_space_group_name_Hall 'F -4 2 3'
loop_
_atom_site_label
_atom_site_fract_x
_atom_site_fract_y
_atom_site_fract_z
Li1 0.000 0.000 0.000
Tb1 0.250 0.250 0.750
Cd1 0.250 0.250 0.250
Ag1 0.000 0.000 0.500
# **ΔE_f**: -0.220 eV per atom